# 1
First-principles (PBE) data for crystalline RbCd2Pd at its relaxed geometry, as listed in Alexandria.

Output
D(E_F)	5.47	states/eV per cell
electronic total energy	-0.0796	Ha/atom
E above lowest polymorph	0.0138	eV per atom
spin magnetization	0.0	Bohr magnetons per cell
calculated formation energy	-0.168	eV per atom

Lattice parameters (Å, degrees): 12.020 5.775 7.564 90.00 119.32 90.00
Space group C2/m (No. 12)
One atom of each set of equivalent atoms:
Rb 0.184 0.000 0.308 [4 per cell]
Cd 0.055 0.500 0.853 [4 per cell]
Cd 0.173 0.000 0.824 [4 per cell]
Pd 0.000 0.255 0.500 [4 per cell]

---

# 2
First-principles (PBE) data for crystalline Si2NiOsAu at its relaxed geometry, as listed in Alexandria.

Output
formation energy (no corrections)	1668	meV/atom
D(E_F)	6.03	states/eV per cell
electronic total energy	-0.1675	Ha/atom
spin magnetization	2.0	Bohr magnetons per cell

Lattice parameters (Å, degrees): 4.577 4.577 4.657 90.00 90.00 90.00
Space group P4/mmm (No. 123)
One atom of each set of equivalent atoms:
Si 0.000 0.500 0.000 [2 per cell]
Ni 0.000 0.000 0.500 [1 per cell]
Os 0.500 0.500 0.500 [1 per cell]
Au 0.000 0.000 0.000 [1 per cell]

---

Copy entry 2 word for word.
First-principles (PBE) data for crystalline Si2NiOsAu at its relaxed geometry, as listed in Alexandria.

Output
formation energy (no corrections)	1668	meV/atom
D(E_F)	6.03	states/eV per cell
electronic total energy	-0.1675	Ha/atom
spin magnetization	2.0	Bohr magnetons per cell

Lattice parameters (Å, degrees): 4.577 4.577 4.657 90.00 90.00 90.00
Space group P4/mmm (No. 123)
One atom of each set of equivalent atoms:
Si 0.000 0.500 0.000 [2 per cell]
Ni 0.000 0.000 0.500 [1 per cell]
Os 0.500 0.500 0.500 [1 per cell]
Au 0.000 0.000 0.000 [1 per cell]

---

- What is the electronic total energy in the second record?
  -0.1675 Ha/atom